{"formula": "Sm6BiAs5", "functional": "GGA-PBE", "state": "optimized geometry", "e_tot_ev_per_atom": -6.03, "spacegroup": "C2/m (12)", "mass_density_g_cm3": 7.5, "e_form_ev_per_fu": -16.86, "cell": [[7.309, 0.183, 1.113], [1.800, 6.209, 3.620], [0.125, 0.070, 7.401]], "species": ["As", "Sm", "Bi", "Sm", "As", "As", "As", "Sm", "Sm", "Sm", "Sm", "As"], "frac_coords": [[0.000, 0.333, 0.334], [0.744, 0.739, 0.000], [0.000, 0.000, 0.000], [0.256, 0.261, 0.000], [0.000, 0.667, 0.666], [0.500, 0.500, 0.000], [0.500, 0.837, 0.327], [0.257, 0.567, 0.347], [0.743, 0.086, 0.347], [0.743, 0.433, 0.653], [0.257, 0.914, 0.653], [0.500, 0.163, 0.673]]}